{"formula": "Dy12HoEr6", "functional": "PBE", "state": "optimized geometry", "lattice_angstrom": [[-4.6684, -2.6728, 6.5242], [6.6418, -3.9306, 3.4554], [1.9946, 6.8460, 4.5450]], "species": ["Ho", "Dy", "Dy", "Dy", "Dy", "Dy", "Dy", "Dy", "Dy", "Dy", "Dy", "Dy", "Dy", "Er", "Er", "Er", "Er", "Er", "Er"], "frac_coords": [[0.0000, 0.0000, 0.0000], [0.4578, 0.5653, 0.2244], [0.7756, 0.5422, 0.4347], [0.7959, 0.6424, 0.9886], [0.2244, 0.4578, 0.5653], [0.5422, 0.4347, 0.7756], [0.4347, 0.7756, 0.5422], [0.5653, 0.2244, 0.4578], [0.0114, 0.2041, 0.3576], [0.9886, 0.7959, 0.6424], [0.3576, 0.0114, 0.2041], [0.6424, 0.9886, 0.7959], [0.2041, 0.3576, 0.0114], [0.6926, 0.2573, 0.0940], [0.7427, 0.9060, 0.3074], [0.9060, 0.3074, 0.7427], [0.0940, 0.6926, 0.2573], [0.3074, 0.7427, 0.9060], [0.2573, 0.0940, 0.6926]], "delta_e_f_ev_per_fu": 2.980, "space_group": "R-3 (148)", "final_energy_ev_per_atom": -4.4316, "vol_a3_per_cell": 603.9, "de_polymorph_ev_per_atom": 0.000}